# LiLaCeZn (GGA-PBE, relaxed)
# - DFT formation energy (eV per atom) = -0.007
# - D(E_F) (states/eV/atom) = 2.3778
# - calculated density (g/cm3) = 5.633
# - E_tot (eV per atom) = -3.52
data_LiLaCeZn
_symmetry_space_group_name_H-M 'F -4 3 m'
_symmetry_Int_Tables_number 216
_symmetry_space_group_name_Hall 'F -4 2 3'
_cell_length_a 7.4551
_cell_length_b 7.4551
_cell_length_c 7.4551
_cell_angle_alpha 90.00
_cell_angle_beta 90.00
_cell_angle_gamma 90.00
loop_
_atom_site_label
_atom_site_fract_x
_atom_site_fract_y
_atom_site_fract_z
_atom_site_occupancy
Li1 0.0000 0.0000 0.0000 1
La1 0.2500 0.2500 0.2500 1
Ce1 0.2500 0.2500 0.7500 1
Zn1 0.0000 0.0000 0.5000 1



# La2CeLu (GGA-PBE, relaxed)
# - relative energy among the computed polymorphs (meV/atom) = 0.0
# - DFT formation energy (eV per atom) = 0.061
# - D(E_F) (states/eV/atom) = 2.2570
# - calculated density (g/cm3) = 7.641
# - E_tot (eV per atom) = -5.02
data_La2CeLu
_symmetry_space_group_name_H-M 'R -3 m'
_symmetry_Int_Tables_number 166
_symmetry_space_group_name_Hall '-R 3 2"'
_cell_length_a 3.5850
_cell_length_b 3.5850
_cell_length_c 34.7290
_cell_angle_alpha 90.00
_cell_angle_beta 90.00
_cell_angle_gamma 120.00
loop_
_atom_site_label
_atom_site_fract_x
_atom_site_fract_y
_atom_site_fract_z
_atom_site_occupancy
La1 0.0000 0.0000 0.2483 1
Ce1 0.0000 0.0000 0.5000 1
Lu1 0.0000 0.0000 0.0000 1



# La2CeLu (GGA-PBE, relaxed)
# - relative energy among the computed polymorphs (meV/atom) = 6.9
# - DFT formation energy (eV per atom) = 0.068
# - D(E_F) (states/eV/atom) = 2.1561
# - calculated density (g/cm3) = 7.615
# - E_tot (eV per atom) = -5.01
data_La2CeLu
_symmetry_space_group_name_H-M 'P 4/m m m'
_symmetry_Int_Tables_number 123
_symmetry_space_group_name_Hall '-P 4 2'
_cell_length_a 3.5708
_cell_length_b 3.5708
_cell_length_c 10.1398
_cell_angle_alpha 90.00
_cell_angle_beta 90.00
_cell_angle_gamma 90.00
loop_
_atom_site_label
_atom_site_fract_x
_atom_site_fract_y
_atom_site_fract_z
_atom_site_occupancy
La1 0.0000 0.0000 0.2419 1
Ce1 0.5000 0.5000 0.0000 1
Lu1 0.5000 0.5000 0.5000 1



# La2CeLu (GGA-PBE, relaxed)
# - relative energy among the computed polymorphs (meV/atom) = 130.1
# - DFT formation energy (eV per atom) = 0.192
# - D(E_F) (states/eV/atom) = 3.0975
# - calculated density (g/cm3) = 7.204
# - E_tot (eV per atom) = -4.89
data_La2CeLu
_symmetry_space_group_name_H-M 'F m -3 m'
_symmetry_Int_Tables_number 225
_symmetry_space_group_name_Hall '-F 4 2 3'
_cell_length_a 8.1765
_cell_length_b 8.1765
_cell_length_c 8.1765
_cell_angle_alpha 90.00
_cell_angle_beta 90.00
_cell_angle_gamma 90.00
loop_
_atom_site_label
_atom_site_fract_x
_atom_site_fract_y
_atom_site_fract_z
_atom_site_occupancy
La1 0.2500 0.2500 0.2500 1
Ce1 0.0000 0.0000 0.0000 1
Lu1 0.0000 0.0000 0.5000 1



# La2CeLu (GGA-PBE, relaxed)
# - relative energy among the computed polymorphs (meV/atom) = 12.6
# - DFT formation energy (eV per atom) = 0.074
# - D(E_F) (states/eV/atom) = 2.0332
# - calculated density (g/cm3) = 7.453
# - E_tot (eV per atom) = -5.00
data_La2CeLu
_symmetry_space_group_name_H-M 'P 4/m m m'
_symmetry_Int_Tables_number 123
_symmetry_space_group_name_Hall '-P 4 2'
_cell_length_a 5.1212
_cell_length_b 5.1212
_cell_length_c 5.0370
_cell_angle_alpha 90.00
_cell_angle_beta 90.00
_cell_angle_gamma 90.00
loop_
_atom_site_label
_atom_site_fract_x
_atom_site_fract_y
_atom_site_fract_z
_atom_site_occupancy
La1 0.0000 0.5000 0.0000 1
Ce1 0.0000 0.0000 0.5000 1
Lu1 0.5000 0.5000 0.5000 1



# LaCeNdLu (GGA-PBE, relaxed)
# - DFT formation energy (eV per atom) = 0.196
# - D(E_F) (states/eV/atom) = 2.8584
# - calculated density (g/cm3) = 7.368
# - E_tot (eV per atom) = -4.84
data_LaCeNdLu
_symmetry_space_group_name_H-M 'F -4 3 m'
_symmetry_Int_Tables_number 216
_symmetry_space_group_name_Hall 'F -4 2 3'
_cell_length_a 8.1397
_cell_length_b 8.1397
_cell_length_c 8.1397
_cell_angle_alpha 90.00
_cell_angle_beta 90.00
_cell_angle_gamma 90.00
loop_
_atom_site_label
_atom_site_fract_x
_atom_site_fract_y
_atom_site_fract_z
_atom_site_occupancy
La1 0.0000 0.0000 0.0000 1
Ce1 0.2500 0.2500 0.7500 1
Nd1 0.0000 0.0000 0.5000 1
Lu1 0.2500 0.2500 0.2500 1